A plane-wave DFT calculation with GGA-PBE was carried out for a geometry-optimized SrInCu2 structure.

volume = 91.1 Å³/f.u.
symmetry = Pm (6)
raw total energy = -3.221 eV/atom
magnetization = 0.00 Bohr magnetons per cell
DFT formation energy = -0.07 eV/atom

Cell: 3.982 4.277 5.699 Å, 90.00 110.16 90.00°
Element x y z (fractional)
Sr 0.000 0.000 0.000
In 0.293 0.500 0.587
Cu 0.610 0.500 0.223
Cu 0.721 0.000 0.446


A plane-wave DFT calculation with GGA-PBE was carried out for a geometry-optimized AlIrCl structure.

volume = 55.3 Å³/f.u.
symmetry = F-43m (216)
raw total energy = -4.323 eV/atom
uncorrected formation energy = 1.5 eV per formula unit
magnetization = 0.10 Bohr magnetons per cell

Cell: 4.276 4.276 4.276 Å, 60.00 60.00 60.00°
Element x y z (fractional)
Al 0.000 0.000 0.000
Ir 0.750 0.750 0.750
Cl 0.250 0.250 0.250


A plane-wave DFT calculation with GGA-PBE was carried out for a geometry-optimized Na2UO4 structure.

volume = 106.1 Å³/f.u.
symmetry = Cmcm (63)
raw total energy = -7.250 eV/atom
uncorrected formation energy = -17.0 eV per formula unit
magnetization = 0.00 Bohr magnetons per cell

Cell: 6.555 6.555 5.891 Å, 90.00 90.00 56.97°
Element x y z (fractional)
Na 0.028 0.577 0.750
Na 0.423 0.972 0.750
Na 0.577 0.028 0.250
Na 0.972 0.423 0.250
U 0.330 0.670 0.250
U 0.670 0.330 0.750
O 0.013 0.224 0.750
O 0.224 0.013 0.250
O 0.389 0.389 0.000
O 0.389 0.389 0.500
O 0.611 0.611 0.000
O 0.611 0.611 0.500
O 0.776 0.987 0.750
O 0.987 0.776 0.250


A plane-wave DFT calculation with GGA-PBE was carried out for a geometry-optimized PrEr3Tl4 structure.

volume = 236.3 Å³/f.u.
symmetry = Immm (71)
raw total energy = -3.690 eV/atom
magnetization = 0.01 Bohr magnetons per cell
DFT formation energy = -0.20 eV/atom

Cell: 10.145 10.145 10.145 Å, 160.18 138.03 46.82°
Element x y z (fractional)
Pr 0.000 0.000 0.000
Er 0.219 0.719 0.500
Er 0.500 0.500 0.000
Er 0.781 0.281 0.500
Tl 0.158 0.870 0.287
Tl 0.417 0.130 0.287
Tl 0.583 0.870 0.713
Tl 0.842 0.130 0.713